[1]
The following is a PBE-GGA calculation of Zn2SnSe3 after structural relaxation, from OQMD via LeMat-Bulk.

Unit cell a=6.957 b=6.957 c=10.424 alpha=90.00 beta=90.00 gamma=147.16
Fractional coordinates of all 12 atoms:
Se 0.410 0.590 0.250
Sn 0.267 0.733 0.750
Se 0.131 0.869 0.439
Se 0.869 0.131 0.939
Se 0.131 0.869 0.061
Zn 0.500 0.500 0.500
Se 0.590 0.410 0.750
Zn 0.500 0.500 0.000
Zn 0.978 0.022 0.750
Sn 0.733 0.267 0.250
Se 0.869 0.131 0.561
Zn 0.022 0.978 0.250

**Total DFT energy (no corrections)**: -38.81 eV for the cell shown
**Crystal system**: orthorhombic



[2]
The following is a PBE-GGA calculation of TbPrCo2C4 after structural relaxation, from OQMD via LeMat-Bulk.

Unit cell a=3.735 b=3.758 c=7.363 alpha=97.74 beta=98.22 gamma=90.04
Fractional coordinates of all 8 atoms:
Co 0.627 0.489 0.191
Tb 0.070 0.931 0.001
Pr 0.927 0.072 0.501
Co 0.487 0.627 0.698
C 0.557 0.407 0.929
C 0.510 0.142 0.778
C 0.406 0.557 0.426
C 0.148 0.510 0.270

**Total DFT energy (no corrections)**: -62.81 eV for the cell shown
**Crystal system**: triclinic



[3]
The following is a PBE-GGA calculation of Tb5S6 after structural relaxation, from OQMD via LeMat-Bulk.

Unit cell a=6.782 b=6.782 c=6.762 alpha=99.62 beta=99.62 gamma=119.86
Fractional coordinates of all 11 atoms:
Tb 0.837 0.163 0.500
Tb 0.666 0.334 0.000
S 0.418 0.084 0.251
Tb 0.163 0.837 0.500
S 0.084 0.418 0.251
S 0.250 0.250 0.754
S 0.916 0.582 0.749
Tb 0.334 0.666 0.000
Tb 0.500 0.500 0.500
S 0.582 0.916 0.749
S 0.750 0.750 0.246

**Total DFT energy (no corrections)**: -70.80 eV for the cell shown
**Crystal system**: monoclinic



[4]
The following is a PBE-GGA calculation of DyEr2Cu4Sn4 after structural relaxation, from OQMD via LeMat-Bulk.

Unit cell a=8.406 b=8.406 c=8.406 alpha=149.33 beta=131.29 gamma=58.67
Fractional coordinates of all 11 atoms:
Er 0.631 0.131 0.500
Dy 0.000 0.000 0.000
Cu 0.018 0.329 0.688
Cu 0.359 0.671 0.688
Sn 0.298 0.500 0.798
Cu 0.641 0.329 0.312
Sn 0.702 0.500 0.202
Sn 0.784 0.784 0.000
Er 0.369 0.869 0.500
Cu 0.982 0.671 0.312
Sn 0.216 0.216 0.000

**Total DFT energy (no corrections)**: -50.09 eV for the cell shown
**Crystal system**: orthorhombic



[5]
The following is a PBE-GGA calculation of CdPd4C2S after structural relaxation, from OQMD via LeMat-Bulk.

Unit cell a=3.219 b=3.219 c=12.748 alpha=90.00 beta=90.00 gamma=120.00
Fractional coordinates of all 8 atoms:
C 0.667 0.333 0.736
Pd 0.333 0.667 0.353
Pd 0.000 0.000 0.177
Pd 0.000 0.000 0.823
S 0.000 0.000 0.500
Pd 0.333 0.667 0.647
Cd 0.333 0.667 0.000
C 0.667 0.333 0.264

**Total DFT energy (no corrections)**: -39.90 eV for the cell shown
**Crystal system**: hexagonal



[6]
The following is a PBE-GGA calculation of RbMgCoMo after structural relaxation, from OQMD via LeMat-Bulk.

Unit cell a=4.716 b=4.716 c=4.716 alpha=60.00 beta=60.00 gamma=60.00
Fractional coordinates of all 4 atoms:
Mg 0.750 0.750 0.750
Mo 0.250 0.250 0.250
Co 0.000 0.000 0.000
Rb 0.500 0.500 0.500

**Total DFT energy (no corrections)**: -14.60 eV for the cell shown
**Crystal system**: cubic



[7]
The following is a PBE-GGA calculation of TcNiBiPt after structural relaxation, from OQMD via LeMat-Bulk.

Unit cell a=4.544 b=4.544 c=4.544 alpha=60.00 beta=60.00 gamma=60.00
Fractional coordinates of all 4 atoms:
Tc 0.250 0.250 0.250
Pt 0.500 0.500 0.500
Ni 0.750 0.750 0.750
Bi 0.000 0.000 0.000

**Total DFT energy (no corrections)**: -24.80 eV for the cell shown
**Crystal system**: cubic



[8]
The following is a PBE-GGA calculation of Hf3Zr3FeTe2 after structural relaxation, from OQMD via LeMat-Bulk.

Unit cell a=7.790 b=7.790 c=3.567 alpha=90.00 beta=90.00 gamma=120.00
Fractional coordinates of all 9 atoms:
Te 0.667 0.333 0.500
Fe 0.000 0.000 0.000
Zr 0.000 0.401 0.000
Zr 0.401 0.000 0.000
Hf 0.236 0.236 0.500
Te 0.333 0.667 0.500
Zr 0.599 0.599 0.000
Hf 0.000 0.764 0.500
Hf 0.764 0.000 0.500

**Total DFT energy (no corrections)**: -74.76 eV for the cell shown
**Crystal system**: hexagonal



[9]
The following is a PBE-GGA calculation of Sr2CdSO6 after structural relaxation, from OQMD via LeMat-Bulk.

Unit cell a=5.568 b=5.494 c=9.555 alpha=90.00 beta=125.32 gamma=90.00
Fractional coordinates of all 20 atoms:
O 0.204 0.194 0.470
O 0.730 0.003 0.286
O 0.730 0.497 0.786
Sr 0.753 0.483 0.251
Sr 0.247 0.983 0.249
S 0.000 0.000 0.500
O 0.796 0.694 0.030
O 0.270 0.503 0.214
S 0.000 0.500 0.000
Cd 0.500 0.000 0.000
O 0.796 0.806 0.530
Sr 0.753 0.017 0.751
Sr 0.247 0.517 0.749
O 0.270 0.997 0.714
O 0.839 0.240 0.528
O 0.204 0.306 0.970
Cd 0.500 0.500 0.500
O 0.839 0.260 0.028
O 0.161 0.760 0.472
O 0.161 0.740 0.972

**Total DFT energy (no corrections)**: -110.84 eV for the cell shown
**Crystal system**: monoclinic



[10]
The following is a PBE-GGA calculation of In2Pt9 after structural relaxation, from OQMD via LeMat-Bulk.

Unit cell a=2.864 b=2.864 c=34.198 alpha=90.00 beta=90.00 gamma=120.00
Fractional coordinates of all 11 atoms:
Pt 0.000 0.000 0.500
Pt 0.000 0.000 0.696
In 0.667 0.333 0.166
Pt 0.667 0.333 0.565
Pt 0.333 0.667 0.435
Pt 0.667 0.333 0.763
Pt 0.667 0.333 0.370
Pt 0.000 0.000 0.304
Pt 0.333 0.667 0.630
In 0.333 0.667 0.834
Pt 0.333 0.667 0.237

**Total DFT energy (no corrections)**: -59.37 eV for the cell shown
**Crystal system**: trigonal



[11]
The following is a PBE-GGA calculation of TmHfGa after structural relaxation, from OQMD via LeMat-Bulk.

Unit cell a=4.689 b=4.689 c=4.689 alpha=60.00 beta=60.00 gamma=60.00
Fractional coordinates of all 3 atoms:
Ga 0.000 0.000 0.000
Tm 0.750 0.750 0.750
Hf 0.250 0.250 0.250

**Total DFT energy (no corrections)**: -17.56 eV for the cell shown
**Crystal system**: cubic



[12]
The following is a PBE-GGA calculation of SmHo2Se3 after structural relaxation, from OQMD via LeMat-Bulk.

Unit cell a=4.073 b=4.073 c=10.066 alpha=90.00 beta=90.00 gamma=120.00
Fractional coordinates of all 6 atoms:
Se 0.667 0.333 0.324
Sm 0.000 0.000 0.500
Ho 0.333 0.667 0.165
Se 0.333 0.667 0.676
Ho 0.667 0.333 0.835
Se 0.000 0.000 0.000

**Total DFT energy (no corrections)**: -34.86 eV for the cell shown
**Crystal system**: trigonal



[13]
The following is a PBE-GGA calculation of RbPrAsO after structural relaxation, from OQMD via LeMat-Bulk.

Unit cell a=3.629 b=8.252 c=8.129 alpha=90.00 beta=90.00 gamma=90.00
Fractional coordinates of all 8 atoms:
Rb 0.500 0.951 0.100
O 0.500 0.240 0.880
As 0.000 0.709 0.818
Rb 0.500 0.049 0.600
O 0.500 0.760 0.380
Pr 0.000 0.372 0.956
As 0.000 0.291 0.318
Pr 0.000 0.628 0.456

**Total DFT energy (no corrections)**: -42.28 eV for the cell shown
**Crystal system**: orthorhombic



[14]
The following is a PBE-GGA calculation of AcDyOs after structural relaxation, from OQMD via LeMat-Bulk.

Unit cell a=4.930 b=4.930 c=4.930 alpha=60.00 beta=60.00 gamma=60.00
Fractional coordinates of all 3 atoms:
Os 0.750 0.750 0.750
Ac 0.000 0.000 0.000
Dy 0.250 0.250 0.250

**Formation enthalpy at 0 K**: 1.053 eV per atom
**Total DFT energy (no corrections)**: -16.78 eV for the cell shown
**Crystal system**: cubic



[15]
The following is a PBE-GGA calculation of PaZnCd after structural relaxation, from OQMD via LeMat-Bulk.

Unit cell a=4.882 b=4.882 c=4.882 alpha=60.00 beta=60.00 gamma=60.00
Fractional coordinates of all 3 atoms:
Zn 0.750 0.750 0.750
Cd 0.250 0.250 0.250
Pa 0.000 0.000 0.000

**Formation enthalpy at 0 K**: 0.767 eV per atom
**Total DFT energy (no corrections)**: -9.35 eV for the cell shown
**Crystal system**: cubic



[16]
The following is a PBE-GGA calculation of Nb2SiTc after structural relaxation, from OQMD via LeMat-Bulk.

Unit cell a=4.466 b=4.466 c=4.466 alpha=60.00 beta=60.00 gamma=60.00
Fractional coordinates of all 4 atoms:
Nb 0.750 0.750 0.750
Nb 0.000 0.000 0.000
Tc 0.250 0.250 0.250
Si 0.500 0.500 0.500

**Total DFT energy (no corrections)**: -36.76 eV for the cell shown
**Crystal system**: cubic



[17]
The following is a PBE-GGA calculation of ZrS2 after structural relaxation, from OQMD via LeMat-Bulk.

Unit cell a=6.601 b=6.601 c=6.601 alpha=134.51 beta=134.51 gamma=66.29
Fractional coordinates of all 6 atoms:
S 0.981 0.481 0.500
Zr 0.000 0.000 0.000
Zr 0.750 0.250 0.500
S 0.519 0.019 0.500
S 0.231 0.231 0.000
S 0.769 0.769 0.000

**Total DFT energy (no corrections)**: -42.08 eV for the cell shown
**Crystal system**: tetragonal



[18]
The following is a PBE-GGA calculation of PmInBi after structural relaxation, from OQMD via LeMat-Bulk.

Unit cell a=5.326 b=5.326 c=5.326 alpha=60.00 beta=60.00 gamma=60.00
Fractional coordinates of all 3 atoms:
Bi 0.000 0.000 0.000
Pm 0.750 0.750 0.750
In 0.250 0.250 0.250

**Total DFT energy (no corrections)**: -11.95 eV for the cell shown
**Crystal system**: cubic



[19]
The following is a PBE-GGA calculation of MgZrGaIr after structural relaxation, from OQMD via LeMat-Bulk.

Unit cell a=4.557 b=4.557 c=4.557 alpha=60.00 beta=60.00 gamma=60.00
Fractional coordinates of all 4 atoms:
Zr 0.000 0.000 0.000
Ir 0.250 0.250 0.250
Mg 0.750 0.750 0.750
Ga 0.500 0.500 0.500

**Total DFT energy (no corrections)**: -24.25 eV for the cell shown
**Crystal system**: cubic



[20]
The following is a PBE-GGA calculation of HfInTe after structural relaxation, from OQMD via LeMat-Bulk.

Unit cell a=4.916 b=4.916 c=4.916 alpha=60.00 beta=60.00 gamma=60.00
Fractional coordinates of all 3 atoms:
Te 0.000 0.000 0.000
Hf 0.250 0.250 0.250
In 0.750 0.750 0.750

**Total DFT energy (no corrections)**: -14.84 eV for the cell shown
**Crystal system**: cubic